[1]
Entry from the Alexandria database: a geometry-optimized Ho4AgRu2Pt structure (PBE).

```
Ho4AgRu2Pt
1.0
-4.4709 1.5246 1.2419
-3.9159 -2.6329 -1.2607
-2.2737 -4.4356 6.8647
Ru Ho Ag Pt
2 4 1 1
Direct
0.2504 0.2504 0.2487
0.7496 0.7496 0.7513
0.8731 0.8731 0.3806
0.6227 0.6227 0.1320
0.3773 0.3773 0.8680
0.1269 0.1269 0.6194
0.0000 0.0000 0.0000
0.5000 0.5000 0.5000
```

Calculated values
Its crystal system is trigonal. The total magnetization comes out at 0.00 μB per atom. The calculated volume comes out at 165 Å³/f.u. The symmetry is R-3m (166). The formation energy comes out at -0.603 eV per atom.

=====

[2]
Entry from the Alexandria database: a geometry-optimized Pm2SnRu structure (PBE).

```
Pm2SnRu
1.0
4.2471 0.0003 -0.0003
-0.0003 5.2018 -0.0035
-2.1319 -2.5977 5.1057
Pm Sn Ru
2 1 1
Direct
0.1734 0.1821 0.3461
0.8266 0.8359 0.6539
0.4999 0.5090 0.0000
0.5000 0.0090 0.0000
```

Calculated values
Its crystal system is monoclinic. The total magnetization comes out at 0.00 μB per atom. The calculated volume comes out at 113 Å³/f.u. The symmetry is C2/m (12). The formation energy comes out at -0.321 eV per atom.

=====

[3]
Entry from the Alexandria database: a geometry-optimized ZrCrMo2 structure (PBE).

```
ZrCrMo2
1.0
-5.0866 0.3969 1.1998
3.0274 -2.3484 3.5084
0.1131 1.9838 2.0128
Cr Mo Zr
1 2 1
Direct
0.5000 0.0000 0.5000
0.0000 0.5000 0.5000
0.0000 0.0000 0.0000
0.5000 0.5000 0.0000
```

Calculated values
For the offset from the most stable computed form, the calculation gives 106.1 meV per atom. Its crystal system is monoclinic. The total magnetization comes out at 0.00 μB per atom. The calculated volume comes out at 65 Å³/f.u. The symmetry is C2/m (12). The formation energy comes out at 0.172 eV per atom.

=====

[4]
Entry from the Alexandria database: a geometry-optimized RbSmSe structure (PBE).

```
RbSmSe
1.0
-1.7325 -2.1646 3.0491
3.7394 -0.9718 1.4342
3.8776 5.7704 17.4010
Rb Sm Se
2 2 2
Direct
0.4156 0.4156 0.0068
0.3362 0.3362 0.3007
0.2883 0.2883 0.5727
0.4655 0.4655 0.7346
0.8655 0.8655 0.5339
0.8883 0.8883 0.7733
```

Calculated values
The formation energy without anion corrections comes out at -1.106 eV per atom. Its crystal system is monoclinic. The total magnetization comes out at 0.00 μB per atom. The calculated volume comes out at 125 Å³/f.u. The symmetry is C2/m (12).

=====

[5]
Entry from the Alexandria database: a geometry-optimized Pr6TlRu2Cl3 structure (PBE).

```
Pr6TlRu2Cl3
1.0
-5.9958 -1.8844 -3.8264
6.5592 0.5247 -3.2930
1.1658 -6.9334 3.8735
Pr Tl Cl Ru
6 1 3 2
Direct
0.0633 0.4396 0.2115
0.5604 0.9367 0.7885
0.9367 0.5604 0.7885
0.6968 0.6968 0.2182
0.3032 0.3032 0.7818
0.4396 0.0633 0.2115
0.0000 0.0000 0.0000
0.8274 0.1726 0.5000
0.1726 0.8274 0.5000
0.5000 0.5000 0.5000
0.3362 0.6638 0.0000
0.6638 0.3362 0.0000
```

Calculated values
The formation energy without anion corrections comes out at -0.881 eV per atom. Its crystal system is monoclinic. The total magnetization comes out at 0.00 μB per atom. The calculated volume comes out at 356 Å³/f.u. The symmetry is C2/m (12).

=====

Q: calculated volume of number 2 (Pm2SnRu)?
A: 113 Å³/f.u.